[1]
! NaNbTcBi GGA-PBE relaxed; values from VASP
&SYSTEM
  ibrav = 0, nat = 4, ntyp = 4
/
ATOMIC_SPECIES
Na 22.99 Na.upf
Nb 92.91 Nb.upf
Tc 98.00 Tc.upf
Bi 208.98 Bi.upf
CELL_PARAMETERS angstrom
0.000 3.369 3.369
3.369 0.000 3.369
3.369 3.369 0.000
ATOMIC_POSITIONS crystal
Na 0.000 0.000 0.000
Nb 0.500 0.500 0.500
Tc 0.750 0.750 0.750
Bi 0.250 0.250 0.250
! SG: F-43m, No. 216

=====

[2]
! NaNbTcBi GGA-PBE relaxed; values from VASP
&SYSTEM
  ibrav = 0, nat = 4, ntyp = 4
/
ATOMIC_SPECIES
Na 22.99 Na.upf
Nb 92.91 Nb.upf
Tc 98.00 Tc.upf
Bi 208.98 Bi.upf
CELL_PARAMETERS angstrom
0.000 3.328 3.328
3.328 0.000 3.328
3.328 3.328 0.000
ATOMIC_POSITIONS crystal
Na 0.000 0.000 0.000
Nb 0.250 0.250 0.250
Tc 0.500 0.500 0.500
Bi 0.750 0.750 0.750
! SG: F-43m, No. 216

=====

The records above give, respectively, energy above the most stable polymorph in this dataset values of 0.189, 0.000 eV per atom.
The records above give, respectively, energy values of -5.93, -6.11 eV per atom.